# 1
Computed, not measured: a relaxed structure of CsZrNO2 at the GGA-PBE level of DFT.

POSCAR file:
```
CsZrNO2
1.0
-0.918 3.742 -1.745
-3.772 -0.033 1.913
1.793 2.104 3.571
N Cs O Zr
1 1 2 1
Direct
0.000 0.000 0.500 N
0.500 0.500 0.500 Cs
0.000 0.500 0.000 O
0.500 0.000 0.000 O
0.000 0.000 0.000 Zr
```

Output
* space-group type: P4/mmm, No. 123
* N(E_F): 1.71 states/eV/f.u.

***

# 2
Computed, not measured: a relaxed structure of CsOsN2 at the GGA-PBE level of DFT.

POSCAR file:
```
CsOsN2
1.0
5.944 0.000 0.000
0.000 5.944 0.000
2.972 2.972 4.597
N Cs Os
4 2 2
Direct
0.375 0.124 0.750 N
0.874 0.625 0.250 N
0.876 0.125 0.250 N
0.875 0.126 0.750 N
0.250 0.750 0.500 Cs
0.500 0.500 0.000 Cs
0.000 0.000 0.000 Os
0.750 0.250 0.500 Os
```

Output
* ΔE to the lowest computed polymorph: 0 meV per atom
* space-group type: I-42d, No. 122
* N(E_F): 1.88 states/eV/f.u.

***

# 3
Computed, not measured: a relaxed structure of Cs4OsN4 at the GGA-PBE level of DFT.

POSCAR file:
```
Cs4OsN4
1.0
7.025 0.000 0.000
0.000 8.656 0.000
0.000 0.000 8.656
Cs N Os
8 8 2
Direct
0.774 0.464 0.617 Cs
0.726 0.617 0.036 Cs
0.274 0.383 0.964 Cs
0.774 0.036 0.883 Cs
0.726 0.883 0.464 Cs
0.226 0.536 0.383 Cs
0.226 0.964 0.117 Cs
0.274 0.117 0.536 Cs
0.106 0.795 0.582 N
0.606 0.418 0.295 N
0.606 0.082 0.205 N
0.894 0.205 0.418 N
0.394 0.918 0.795 N
0.394 0.582 0.705 N
0.106 0.705 0.918 N
0.894 0.295 0.082 N
0.250 0.750 0.750 Os
0.750 0.250 0.250 Os
```

Output
* space-group type: P4_2/n, No. 86
* N(E_F): 0.00 states/eV/f.u.

***

Looking at formation energy from raw total energies for the records above, in order, we have -1.368 0.102 -0.073 eV/atom.